A plane-wave DFT calculation with PBE+U was carried out for Mo2OF2 after structural relaxation.

Cell and atoms, written as POSCAR:
```
Mo2OF2
1.0
-2.238 2.238 3.708
2.238 -2.238 3.708
2.238 2.238 -3.708
Mo O F
2 1 2
Cartesian
2.238 0.000 1.854
0.000 2.238 1.854
0.000 0.000 0.000
0.000 0.000 2.510
0.000 0.000 4.907
```

As for the excess energy over the best structure of this formula in the dataset: 0.0 kJ/mol of formula units. For the size of the total moment, the calculation gives 1.6000 μB/atom. The value obtained for the volume is 74.26 Å³/cell. Its density of states at the Fermi level is 0.080 states/eV/atom.